Dy2HoV | PBE | optimized geometry

Results
Formation enthalpy at 0 K ... 0.602 eV per atom
V ... 27.923 A^3/atom
DOS(E_F) ... 6.657 states/eV/cell

a b c (Å): 3.3649 3.3649 11.5551
angles (deg): 81.63 81.63 60.00
Last column: nearest neighbours and their distance in Å.
Fractional coordinates of all 4 atoms:
Dy1 0.0822 0.0822 0.7534  1 V 2.81
Dy2 0.9178 0.9178 0.2466  1 V 2.81
V1 0.0000 0.0000 0.0000  2 Dy 2.81
Ho1 0.5000 0.5000 0.5000  6 Ho 3.36, 6 Dy 3.48

DyHoV4 | PBE | optimized geometry

Results
Formation enthalpy at 0 K ... 0.361 eV per atom
V ... 18.250 A^3/atom
DOS(E_F) ... 15.482 states/eV/cell

a b c (Å): 5.3700 5.3700 5.3700
angles (deg): 60.00 60.00 60.00
Last column: nearest neighbours and their distance in Å.
Fractional coordinates of all 6 atoms:
V1 0.6256 0.6256 0.1232  6 V 2.67-2.70
V2 0.6256 0.1232 0.6256  6 V 2.67-2.70
V3 0.1232 0.6256 0.6256  6 V 2.67-2.70
V4 0.6256 0.6256 0.6256  6 V 2.67-2.70
Ho1 0.0000 0.0000 0.0000  12 V 3.15, 4 Dy 3.29
Dy1 0.2500 0.2500 0.2500  12 V 3.15, 4 Ho 3.29

DyHoW4 | PBE | optimized geometry

Results
Formation enthalpy at 0 K ... 0.142 eV per atom
V ... 20.029 A^3/atom
DOS(E_F) ... 10.296 states/eV/cell

a b c (Å): 5.5391 5.5391 5.5391
angles (deg): 60.00 60.00 60.00
Last column: nearest neighbours and their distance in Å.
Fractional coordinates of all 6 atoms:
W1 0.6250 0.1250 0.6250  6 W 2.77
W2 0.1250 0.6250 0.6250  6 W 2.77
W3 0.6250 0.6250 0.1250  6 W 2.77
W4 0.6250 0.6250 0.6250  6 W 2.77
Ho1 0.0000 0.0000 0.0000  12 W 3.25, 4 Dy 3.39
Dy1 0.2500 0.2500 0.2500  12 W 3.25, 4 Ho 3.39

Dy3Y3Ho2 | PBE | optimized geometry

Results
Formation enthalpy at 0 K ... 0.238 eV per atom
V ... 33.216 A^3/atom
DOS(E_F) ... 13.712 states/eV/cell

a b c (Å): 6.4423 6.4423 6.4423
angles (deg): 93.76 93.76 86.24
Last column: nearest neighbours and their distance in Å.
Fractional coordinates of all 8 atoms:
Y1 0.2649 0.7351 0.5000  2 Dy 3.23, 2 Y 3.59, 2 Ho 3.59
Y2 0.5000 0.2649 0.2649  2 Dy 3.23, 2 Y 3.59, 2 Ho 3.59
Y3 0.7351 0.5000 0.7351  2 Dy 3.23, 2 Y 3.59, 2 Ho 3.59
Ho1 0.2496 0.2496 0.7504  6 Y 3.59-3.62, 6 Dy 3.60-3.61
Ho2 0.7504 0.7504 0.2496  6 Y 3.59-3.62, 6 Dy 3.60-3.61
Dy1 0.0000 0.2338 0.2338  2 Y 3.23, 2 Dy 3.57, 4 Ho 3.60-3.61
Dy2 0.7662 0.0000 0.7662  2 Y 3.23, 2 Dy 3.57, 4 Ho 3.60-3.61
Dy3 0.2338 0.7662 0.0000  2 Y 3.23, 2 Dy 3.57, 4 Ho 3.60-3.61

DyY4Ho5 | PBE | optimized geometry

Results
Formation enthalpy at 0 K ... 0.059 eV per atom
V ... 31.911 A^3/atom
DOS(E_F) ... 18.738 states/eV/cell

a b c (Å): 3.5530 6.7728 14.3329
angles (deg): 93.46 104.26 105.53
Last column: nearest neighbours and their distance in Å.
Fractional coordinates of all 10 atoms:
Ho1 0.9320 0.5814 0.3861  8 Ho 3.47-3.60, 4 Y 3.49-3.59
Ho2 0.2268 0.1250 0.4164  3 Y 3.44-3.69, 9 Ho 3.48-3.60
Ho3 0.0680 0.4186 0.6139  8 Ho 3.47-3.60, 4 Y 3.49-3.59
Ho4 0.7732 0.8750 0.5836  3 Y 3.44-3.69, 9 Ho 3.48-3.60
Ho5 0.5000 0.5000 0.0000  2 Dy 3.39, 2 Ho 3.55, 4 Y 3.57-3.67
Y1 0.3626 0.8267 0.2127  1 Dy 3.43, 5 Y 3.44-3.64, 5 Ho 3.51-3.81
Y2 0.6374 0.1733 0.7873  1 Dy 3.43, 5 Y 3.44-3.64, 5 Ho 3.51-3.81
Y3 0.1146 0.2964 0.1933  1 Dy 3.24, 4 Ho 3.44-3.57, 4 Y 3.44-3.55
Y4 0.8854 0.7036 0.8067  1 Dy 3.24, 4 Ho 3.44-3.57, 4 Y 3.44-3.55
Dy1 0.5000 0.0000 0.0000  4 Y 3.24-3.43, 2 Ho 3.39, 2 Dy 3.55

Dy10Y4Ho | PBE | optimized geometry

Results
Formation enthalpy at 0 K ... 0.750 eV per atom
V ... 37.909 A^3/atom
DOS(E_F) ... 16.501 states/eV/cell

a b c (Å): 7.6898 9.4197 9.4197
angles (deg): 80.41 65.91 65.91
Last column: nearest neighbours and their distance in Å.
Fractional coordinates of all 15 atoms:
Y1 0.6005 0.1989 0.6000  8 Dy 3.33-3.34
Y2 0.7994 0.6000 0.8011  8 Dy 3.33-3.34
Y3 0.2006 0.4000 0.1989  8 Dy 3.33-3.34
Y4 0.3995 0.8011 0.4000  8 Dy 3.33-3.34
Dy1 0.5522 0.1002 0.2981  1 Ho 3.31, 3 Y 3.33
Dy2 0.9504 0.8998 0.7019  1 Ho 3.31, 3 Y 3.33
Dy3 0.6523 0.2981 0.8998  1 Ho 3.31, 3 Y 3.33
Dy4 0.0496 0.1002 0.2981  1 Ho 3.31, 3 Y 3.33
Dy5 0.8502 0.7019 0.1002  1 Ho 3.31, 3 Y 3.33
Dy6 0.2500 0.5000 0.5000  4 Y 3.34
Dy7 0.7500 0.5000 0.5000  4 Y 3.34
Dy8 0.1498 0.2981 0.8998  1 Ho 3.31, 3 Y 3.33
Dy9 0.4478 0.8998 0.7019  1 Ho 3.31, 3 Y 3.33
Dy10 0.3477 0.7019 0.1002  1 Ho 3.31, 3 Y 3.33
Ho1 0.0000 0.0000 0.0000  8 Dy 3.31

Dy3Y8Ho | PBE | optimized geometry

Results
Formation enthalpy at 0 K ... 0.356 eV per atom
V ... 34.294 A^3/atom
DOS(E_F) ... 20.315 states/eV/cell

a b c (Å): 8.9034 8.9034 10.8584
angles (deg): 132.28 132.28 44.01
Last column: nearest neighbours and their distance in Å.
Fractional coordinates of all 12 atoms:
Y1 0.2553 0.2553 0.4004  1 Ho 3.17, 5 Y 3.30-3.54
Y2 0.7447 0.7447 0.5996  1 Ho 3.17, 5 Y 3.30-3.54
Y3 0.7316 0.2516 0.7583  1 Ho 3.06, 2 Y 3.20-3.30, 1 Dy 3.39
Y4 0.7487 0.7487 0.9300  7 Y 3.43-3.65, 1 Ho 3.64, 1 Dy 3.74
Y5 0.2516 0.7316 0.7583  1 Ho 3.06, 2 Y 3.20-3.30, 1 Dy 3.39
Y6 0.2513 0.2513 0.0700  7 Y 3.43-3.65, 1 Ho 3.64, 1 Dy 3.74
Y7 0.7484 0.2684 0.2417  1 Ho 3.06, 2 Y 3.20-3.30, 1 Dy 3.39
Y8 0.2684 0.7484 0.2417  1 Ho 3.06, 2 Y 3.20-3.30, 1 Dy 3.39
Dy1 0.6897 0.6897 0.2038  1 Dy 3.56, 8 Y 3.67-3.74, 2 Ho 3.97
Dy2 0.0000 0.0000 0.5000  4 Y 3.39, 2 Dy 3.56
Dy3 0.3103 0.3103 0.7962  1 Dy 3.56, 8 Y 3.67-3.74, 2 Ho 3.97
Ho1 0.0000 0.0000 0.0000  6 Y 3.06-3.17

Dy5Y12Ho | PBE | optimized geometry

Results
Formation enthalpy at 0 K ... 0.023 eV per atom
V ... 31.911 A^3/atom
DOS(E_F) ... 26.402 states/eV/cell

a b c (Å): 15.0963 10.6842 5.0319
angles (deg): 90.00 90.00 45.05
Last column: nearest neighbours and their distance in Å.
Fractional coordinates of all 18 atoms:
Dy1 0.3335 0.3330 0.0000  8 Y 3.55, 4 Dy 3.56
Dy2 0.5000 0.0000 0.5000  8 Y 3.55, 4 Dy 3.56
Dy3 0.1668 0.6665 0.5000  8 Y 3.55, 2 Ho 3.56, 2 Dy 3.56
Dy4 0.6665 0.6670 0.0000  8 Y 3.55, 4 Dy 3.56
Dy5 0.8333 0.3335 0.5000  8 Y 3.55, 2 Ho 3.56, 2 Dy 3.56
Y1 0.1654 0.0000 0.5000  2 Ho 3.55, 2 Dy 3.55, 8 Y 3.56-3.58
Y2 0.6677 0.3334 0.0000  3 Dy 3.55, 1 Ho 3.55, 8 Y 3.56-3.58
Y3 0.9989 0.3334 0.0000  3 Dy 3.55, 1 Ho 3.55, 8 Y 3.56-3.58
Y4 0.8346 0.0000 0.5000  2 Ho 3.55, 2 Dy 3.55, 8 Y 3.56-3.58
Y5 0.3323 0.6667 0.0000  3 Dy 3.55, 1 Ho 3.55, 8 Y 3.56-3.58
Y6 0.8325 0.6668 0.5000  4 Dy 3.55, 8 Y 3.56-3.58
Y7 0.0011 0.6667 0.0000  3 Dy 3.55, 1 Ho 3.55, 8 Y 3.56-3.58
Y8 0.5007 0.6668 0.5000  4 Dy 3.55, 8 Y 3.56-3.58
Y9 0.6660 0.0000 0.0000  4 Dy 3.55, 8 Y 3.56-3.58
Y10 0.3340 0.0000 0.0000  4 Dy 3.55, 8 Y 3.56-3.58
Y11 0.4993 0.3332 0.5000  4 Dy 3.55, 8 Y 3.56-3.58
Y12 0.1675 0.3332 0.5000  4 Dy 3.55, 8 Y 3.56-3.58
Ho1 0.0000 0.0000 0.0000  8 Y 3.55, 4 Dy 3.56

V of number 2 (DyHoV4)? 18.250 A^3/atom